No. 1
# SiTeW2

Crystalline SiTeW2 at its relaxed geometry (PBE-GGA, Alexandria).

Summary:
Uncorrected formation energy   0.527 eV per atom
V   18.62 A^3/atom

Geometry as POSCAR:
```
SiTeW2
1.0
-2.510 -0.530 1.386
1.187 -2.491 -0.944
4.636 -0.849 8.070
Te Si W
1 1 2
direct
0.500 0.500 0.771
0.000 0.000 0.457
0.000 0.000 0.024
0.500 0.500 0.248
```


No. 2
# CsMgPPb

Crystalline CsMgPPb at its relaxed geometry (PBE-GGA, Alexandria).

Summary:
Energy relative to the elements   -0.37 eV per atom
V   36.02 A^3/atom

Geometry as POSCAR:
```
CsMgPPb
1.0
4.439 0.000 0.000
0.000 4.439 0.000
0.000 0.000 14.625
Mg P Pb Cs
2 2 2 2
direct
0.750 0.250 0.000
0.250 0.750 0.000
0.750 0.750 0.905
0.250 0.250 0.095
0.250 0.750 0.500
0.750 0.250 0.500
0.750 0.750 0.225
0.250 0.250 0.775
```


No. 3
# Ti6TcOs5

Crystalline Ti6TcOs5 at its relaxed geometry (PBE-GGA, Alexandria).

Summary:
Energy relative to the elements   -0.70 eV per atom
V   14.80 A^3/atom

Geometry as POSCAR:
```
Ti6TcOs5
1.0
-1.028 4.197 -0.692
-5.803 -1.120 1.828
5.086 -0.111 5.612
Os Ti Tc
5 6 1
direct
0.668 0.168 0.335
0.332 0.832 0.665
0.000 0.500 0.000
0.334 0.334 0.667
0.666 0.666 0.333
0.834 0.083 0.668
0.166 0.917 0.332
0.500 0.248 0.000
0.834 0.585 0.668
0.500 0.752 0.000
0.166 0.415 0.332
0.000 0.000 0.000
```


No. 4
# Na3BeGe

Crystalline Na3BeGe at its relaxed geometry (PBE-GGA, Alexandria).

Summary:
Energy relative to the elements   0.74 eV per atom
V   35.26 A^3/atom

Geometry as POSCAR:
```
Na3BeGe
1.0
5.607 0.000 0.000
0.000 5.607 0.000
0.000 0.000 5.607
Na Ge Be
3 1 1
direct
0.500 0.000 0.000
0.000 0.000 0.500
0.000 0.500 0.000
0.000 0.000 0.000
0.500 0.500 0.500
```


No. 5
# Nd3YHo5

Crystalline Nd3YHo5 at its relaxed geometry (PBE-GGA, Alexandria).

Summary:
Energy relative to the elements   0.30 eV per atom
V   34.61 A^3/atom

Geometry as POSCAR:
```
Nd3YHo5
1.0
-4.093 -2.668 -8.326
-3.575 -7.744 -4.523
-11.522 -0.384 1.056
Nd Ho Y
6 10 2
direct
0.000 0.000 0.500
0.009 0.646 0.374
0.000 0.000 0.000
0.991 0.354 0.626
0.354 0.991 0.126
0.646 0.009 0.874
0.403 0.597 0.250
0.597 0.403 0.750
0.874 0.467 0.282
0.126 0.533 0.718
0.528 0.154 0.512
0.472 0.846 0.488
0.467 0.874 0.782
0.533 0.126 0.218
0.154 0.528 0.012
0.846 0.472 0.988
0.119 0.881 0.750
0.881 0.119 0.250
```


No. 6
# Au3Br

Crystalline Au3Br at its relaxed geometry (PBE-GGA, Alexandria).

Summary:
Uncorrected formation energy   0.209 eV per atom
V   22.68 A^3/atom

Geometry as POSCAR:
```
Au3Br
1.0
-0.800 3.066 -2.421
2.199 -1.518 -2.648
-4.754 -2.999 -2.228
Au Br
3 1
direct
0.500 0.500 0.915
0.000 0.000 0.875
0.500 0.000 0.555
0.000 0.500 0.322
```


No. 7
# Li2Tl2Cu

Crystalline Li2Tl2Cu at its relaxed geometry (PBE-GGA, Alexandria).

Summary:
Energy relative to the elements   0.10 eV per atom
V   19.78 A^3/atom

Geometry as POSCAR:
```
Li2Tl2Cu
1.0
-0.684 1.436 -3.326
-3.622 -0.303 0.614
-2.220 7.243 1.541
Li Cu Tl
2 1 2
direct
0.750 0.250 0.500
0.250 0.750 0.500
0.000 0.000 0.000
0.398 0.398 0.204
0.602 0.602 0.796
```


No. 8
# CdRu

Crystalline CdRu at its relaxed geometry (PBE-GGA, Alexandria).

Summary:
Energy relative to the elements   0.41 eV per atom
V   16.72 A^3/atom

Geometry as POSCAR:
```
CdRu
1.0
2.883 0.000 0.000
0.000 4.612 0.000
0.000 0.000 5.031
Ru Cd
2 2
direct
0.500 0.000 0.492
0.000 0.500 0.342
0.500 0.500 0.827
0.000 0.000 0.007
```


No. 9
# Ga2PbBr4

Crystalline Ga2PbBr4 at its relaxed geometry (PBE-GGA, Alexandria).

Summary:
Uncorrected formation energy   -0.608 eV per atom
V   38.61 A^3/atom

Geometry as POSCAR:
```
Ga2PbBr4
1.0
6.075 0.000 0.000
0.000 6.075 0.000
3.037 3.037 7.323
Br Ga Pb
4 2 1
direct
0.500 0.000 0.000
0.796 0.796 0.407
0.000 0.500 0.000
0.204 0.204 0.593
0.617 0.617 0.767
0.383 0.383 0.233
0.000 0.000 0.000
```


No. 10
# TaMo

Crystalline TaMo at its relaxed geometry (PBE-GGA, Alexandria).

Summary:
Energy relative to the elements   0.56 eV per atom
V   18.76 A^3/atom

Geometry as POSCAR:
```
TaMo
1.0
-0.251 -6.903 -4.011
5.095 2.951 -5.398
3.621 -1.607 2.539
Mo Ta
8 8
direct
0.832 0.480 0.500
0.332 0.980 0.000
0.020 0.332 0.000
0.980 0.668 0.000
0.520 0.832 0.500
0.168 0.520 0.500
0.480 0.168 0.500
0.668 0.020 0.000
0.308 0.651 0.000
0.151 0.192 0.500
0.849 0.808 0.500
0.651 0.692 0.000
0.192 0.849 0.500
0.692 0.349 0.000
0.808 0.151 0.500
0.349 0.308 0.000
```


No. 11
# Rb2TiAg

Crystalline Rb2TiAg at its relaxed geometry (PBE-GGA, Alexandria).

Summary:
Energy relative to the elements   1.00 eV per atom
V   42.03 A^3/atom

Geometry as POSCAR:
```
Rb2TiAg
1.0
5.566 1.350 2.360
1.131 -0.963 6.014
3.814 -4.560 1.743
Ti Rb Ag
1 2 1
direct
0.000 0.000 0.000
0.250 0.250 0.250
0.750 0.750 0.750
0.500 0.500 0.500
```


No. 12
# LiAg3Pt

Crystalline LiAg3Pt at its relaxed geometry (PBE-GGA, Alexandria).

Summary:
Energy relative to the elements   0.45 eV per atom
V   16.74 A^3/atom

Geometry as POSCAR:
```
LiAg3Pt
1.0
4.374 0.000 0.000
0.000 4.374 0.000
0.000 0.000 4.374
Ag Pt Li
3 1 1
direct
0.000 0.000 0.500
0.000 0.500 0.000
0.500 0.000 0.000
0.500 0.500 0.500
0.000 0.000 0.000
```